# Ho2Zn5Ga3 | the Alexandria database | PBE-GGA | relaxed
data_Ho2Zn5Ga3
_chemical_formula_sum 'Ho2 Zn5 Ga3'
_symmetry_space_group_name_H-M 'P -4 m 2'
_symmetry_Int_Tables_number 115
_cell_length_a 4.1269
_cell_length_b 4.1269
_cell_length_c 10.7337
_cell_angle_alpha 90.00
_cell_angle_beta 90.00
_cell_angle_gamma 90.00
loop_
_symmetry_equiv_pos_as_xyz
'x,y,z'
'y,-x,-z'
'-x,-y,z'
'-y,x,-z'
'-x,y,z'
'-y,-x,-z'
'x,-y,z'
'y,x,-z'
loop_
_atom_site_label
_atom_site_type_symbol
_atom_site_fract_x
_atom_site_fract_y
_atom_site_fract_z
Ho1 Ho 0.0000 0.5000 0.2494
Zn1 Zn 0.0000 0.0000 0.5000
Zn2 Zn 0.0000 0.5000 0.6332
Zn3 Zn 0.5000 0.5000 0.0000
Zn4 Zn 0.5000 0.5000 0.5000
Ga1 Ga 0.0000 0.0000 0.0000
Ga2 Ga 0.0000 0.5000 0.8564
# Final energy   -2.8239 eV per atom

# Ho3ZnGa2 | the Alexandria database | PBE-GGA | relaxed
data_Ho3ZnGa2
_chemical_formula_sum 'Ho6 Zn2 Ga4'
_symmetry_space_group_name_H-M 'P -3 m 1'
_symmetry_Int_Tables_number 164
_symmetry_space_group_name_Hall '-P 3 2"'
_cell_length_a 5.0279
_cell_length_b 5.0279
_cell_length_c 12.2780
_cell_angle_alpha 90.00
_cell_angle_beta 90.00
_cell_angle_gamma 120.00
loop_
_atom_site_label
_atom_site_type_symbol
_atom_site_fract_x
_atom_site_fract_y
_atom_site_fract_z
Ho1 Ho 0.0000 0.0000 0.2502
Ho2 Ho 0.3333 0.6667 0.4174
Ho3 Ho 0.3333 0.6667 0.9177
Zn1 Zn 0.3333 0.6667 0.1681
Ga1 Ga 0.0000 0.0000 0.0000
Ga2 Ga 0.0000 0.0000 0.5000
Ga3 Ga 0.3333 0.6667 0.6724
# Final energy   -4.0281 eV per atom

# Ho3Zn2Ga9 | the Alexandria database | PBE-GGA | relaxed
data_Ho3Zn2Ga9
_chemical_formula_sum 'Ho6 Zn4 Ga18'
_symmetry_space_group_name_H-M 'I m m m'
_symmetry_Int_Tables_number 71
_symmetry_space_group_name_Hall '-I 2 2'
_cell_length_a 4.1902
_cell_length_b 10.0652
_cell_length_c 12.4303
_cell_angle_alpha 90.00
_cell_angle_beta 90.00
_cell_angle_gamma 90.00
loop_
_atom_site_label
_atom_site_type_symbol
_atom_site_fract_x
_atom_site_fract_y
_atom_site_fract_z
Ho1 Ho 0.0000 0.0000 0.0000
Ho2 Ho 0.0000 0.0000 0.3199
Zn1 Zn 0.0000 0.2122 0.5000
Ga1 Ga 0.0000 0.2762 0.1404
Ga2 Ga 0.0000 0.3750 0.3385
Ga3 Ga 0.0000 0.5000 0.0000
# Final energy   -3.5416 eV per atom

# Ho3ZnGa2 | the Alexandria database | PBE-GGA | relaxed
data_Ho3ZnGa2
_chemical_formula_sum 'Ho3 Zn1 Ga2'
_symmetry_space_group_name_H-M 'P 4/m m m'
_symmetry_Int_Tables_number 123
_symmetry_space_group_name_Hall '-P 4 2'
_cell_length_a 3.5444
_cell_length_b 3.5444
_cell_length_c 10.7052
_cell_angle_alpha 90.00
_cell_angle_beta 90.00
_cell_angle_gamma 90.00
loop_
_atom_site_label
_atom_site_type_symbol
_atom_site_fract_x
_atom_site_fract_y
_atom_site_fract_z
Ho1 Ho 0.0000 0.0000 0.0000
Ho2 Ho 0.0000 0.0000 0.3365
Zn1 Zn 0.5000 0.5000 0.5000
Ga1 Ga 0.5000 0.5000 0.1715
# Final energy   -4.0182 eV per atom

# Ho2Zn15Ga2 | the Alexandria database | PBE-GGA | relaxed
data_Ho2Zn15Ga2
_chemical_formula_sum 'Ho6 Zn45 Ga6'
_symmetry_space_group_name_H-M 'R -3 m'
_symmetry_Int_Tables_number 166
_symmetry_space_group_name_Hall '-R 3 2"'
_cell_length_a 9.0832
_cell_length_b 9.0832
_cell_length_c 12.9645
_cell_angle_alpha 90.00
_cell_angle_beta 90.00
_cell_angle_gamma 120.00
loop_
_atom_site_label
_atom_site_type_symbol
_atom_site_fract_x
_atom_site_fract_y
_atom_site_fract_z
Ho1 Ho 0.0000 0.0000 0.1655
Zn1 Zn 0.0000 0.3104 0.5000
Zn2 Zn 0.0000 0.5000 0.0000
Zn3 Zn 0.0127 0.5064 0.6560
Ga1 Ga 0.0000 0.0000 0.4009
# Final energy   -2.0255 eV per atom

# HoZnGa6 | the Alexandria database | PBE-GGA | relaxed
data_HoZnGa6
_chemical_formula_sum 'Ho2 Zn2 Ga12'
_symmetry_space_group_name_H-M 'C m m m'
_symmetry_Int_Tables_number 65
_symmetry_space_group_name_Hall '-C 2 2'
_cell_length_a 6.6711
_cell_length_b 10.2244
_cell_length_c 4.4480
_cell_angle_alpha 90.00
_cell_angle_beta 90.00
_cell_angle_gamma 90.00
loop_
_atom_site_label
_atom_site_type_symbol
_atom_site_fract_x
_atom_site_fract_y
_atom_site_fract_z
Ho1 Ho 0.0000 0.0000 0.0000
Zn1 Zn 0.0000 0.5000 0.0000
Ga1 Ga 0.0000 0.2131 0.5000
Ga2 Ga 0.2015 0.5000 0.5000
Ga3 Ga 0.2500 0.2500 0.0000
# Final energy   -3.2015 eV per atom